This record from Alexandria via LeMat-Bulk describes a relaxed structure of Tm5Te6. The functional is GGA-PBE.

a = 7.430 Å, b = 7.396 Å, c = 7.400 Å
α = 80.30°, β = 70.40°, γ = 59.85°
Element x y z (fractional)
Te (0.403, 0.677, 0.758)
Te (0.759, 0.000, 0.754)
Te (0.597, 0.323, 0.242)
Te (0.080, 0.323, 0.758)
Te (0.241, 0.000, 0.246)
Te (0.920, 0.677, 0.242)
Tm (0.500, 0.000, 0.500)
Tm (0.829, 0.342, 0.500)
Tm (0.171, 0.658, 0.500)
Tm (0.664, 0.673, 0.000)
Tm (0.336, 0.327, 0.000)

Calculated values
Its crystal system is monoclinic. The calculation puts the calculated total energy at -0.18598 Ha/atom. For the spin magnetization, the calculation gives 0.0 μB/f.u. The calculation puts the volume at 331 Å³ per cell.


This record from Alexandria via LeMat-Bulk describes a relaxed structure of Tm7Te3. The functional is GGA-PBE.

a = 7.069 Å, b = 9.641 Å, c = 9.641 Å
α = 120.00°, β = 90.00°, γ = 90.00°
Element x y z (fractional)
Te (0.340, 0.797, 0.203)
Te (0.840, 0.203, 0.797)
Te (0.340, 0.405, 0.203)
Te (0.840, 0.595, 0.797)
Te (0.340, 0.797, 0.595)
Te (0.840, 0.203, 0.405)
Tm (0.171, 0.077, 0.538)
Tm (0.951, 0.246, 0.123)
Tm (0.171, 0.462, 0.538)
Tm (0.951, 0.877, 0.754)
Tm (0.451, 0.754, 0.877)
Tm (0.951, 0.877, 0.123)
Tm (0.171, 0.462, 0.923)
Tm (0.451, 0.123, 0.246)
Tm (0.451, 0.123, 0.877)
Tm (0.671, 0.538, 0.462)
Tm (0.024, 0.667, 0.333)
Tm (0.671, 0.923, 0.462)
Tm (0.671, 0.538, 0.077)
Tm (0.524, 0.333, 0.667)

Calculated values
Its crystal system is hexagonal. The calculation puts the calculated total energy at -0.17560 Ha/atom. For the spin magnetization, the calculation gives 0.0 μB/f.u. The calculation puts the volume at 569 Å³ per cell.


This record from Alexandria via LeMat-Bulk describes a relaxed structure of TmTe2. The functional is GGA-PBE.

a = 4.420 Å, b = 4.420 Å, c = 8.790 Å
α = 90.00°, β = 90.00°, γ = 90.00°
Element x y z (fractional)
Te (0.750, 0.750, 0.373)
Te (0.750, 0.250, 0.000)
Te (0.250, 0.250, 0.627)
Te (0.250, 0.750, 0.000)
Tm (0.250, 0.250, 0.271)
Tm (0.750, 0.750, 0.729)

Calculated values
Its crystal system is tetragonal. The calculation puts the calculated total energy at -0.17119 Ha/atom. For the spin magnetization, the calculation gives 0.0 μB/f.u. The calculation puts the volume at 172 Å³ per cell.


This record from Alexandria via LeMat-Bulk describes a relaxed structure of TmTe3. The functional is GGA-PBE.

a = 4.306 Å, b = 6.184 Å, c = 4.518 Å
α = 90.00°, β = 90.00°, γ = 90.00°
Element x y z (fractional)
Te (0.500, 0.000, 0.494)
Te (0.000, 0.500, 0.314)
Te (0.500, 0.500, 0.830)
Tm (0.000, 0.000, 0.028)

Calculated values
Its crystal system is orthorhombic. The calculation puts the calculated total energy at -0.14682 Ha/atom. For the spin magnetization, the calculation gives 0.0 μB/f.u. The calculation puts the volume at 120 Å³ per cell.


This record from Alexandria via LeMat-Bulk describes a relaxed structure of TmTe3. The functional is GGA-PBE.

a = 4.314 Å, b = 5.904 Å, c = 6.058 Å
α = 119.16°, β = 110.86°, γ = 90.00°
Element x y z (fractional)
Te (0.311, 0.642, 0.622)
Te (0.500, 0.432, 0.000)
Te (0.689, 0.020, 0.378)
Tm (0.000, 0.072, 0.000)

Calculated values
Its crystal system is orthorhombic. The calculation puts the calculated total energy at -0.15206 Ha/atom. For the spin magnetization, the calculation gives 0.0 μB/f.u. The calculation puts the volume at 123 Å³ per cell.


This record from Alexandria via LeMat-Bulk describes a relaxed structure of Tm3Te. The functional is GGA-PBE.

a = 3.725 Å, b = 5.862 Å, c = 6.236 Å
α = 118.04°, β = 107.38°, γ = 90.00°
Element x y z (fractional)
Tm (0.725, 0.068, 0.450)
Tm (0.275, 0.618, 0.550)
Tm (0.500, 0.454, 0.000)
Te (0.000, 0.027, 0.000)

Calculated values
Its crystal system is orthorhombic. The polymorph energy (0 for the lowest one) comes out at 91 meV/atom. The calculation puts the calculated total energy at -0.17038 Ha/atom. For the spin magnetization, the calculation gives 0.0 μB/f.u. The calculation puts the volume at 113 Å³ per cell.


This record from Alexandria via LeMat-Bulk describes a relaxed structure of Tm2UTe6. The functional is GGA-PBE.

a = 7.193 Å, b = 7.193 Å, c = 13.004 Å
α = 90.00°, β = 90.00°, γ = 90.00°
Element x y z (fractional)
Te (0.701, 0.701, 0.662)
Te (0.792, 0.208, 0.500)
Te (0.799, 0.201, 0.162)
Te (0.701, 0.701, 0.338)
Te (0.201, 0.799, 0.838)
Te (0.708, 0.708, 0.000)
Te (0.208, 0.792, 0.500)
Te (0.299, 0.299, 0.338)
Te (0.292, 0.292, 0.000)
Te (0.201, 0.799, 0.162)
Te (0.299, 0.299, 0.662)
Te (0.799, 0.201, 0.838)
U (0.500, 0.500, 0.500)
U (0.000, 0.000, 0.000)
Tm (0.000, 0.000, 0.335)
Tm (0.000, 0.000, 0.665)
Tm (0.500, 0.500, 0.165)
Tm (0.500, 0.500, 0.835)

Calculated values
Its crystal system is tetragonal. The calculation puts the calculated total energy at -0.19027 Ha/atom. For the spin magnetization, the calculation gives 0.5 μB/f.u. The calculation puts the volume at 673 Å³ per cell.


This record from Alexandria via LeMat-Bulk describes a relaxed structure of TmU2Te6. The functional is GGA-PBE.

a = 5.722 Å, b = 5.722 Å, c = 11.530 Å
α = 104.37°, β = 104.37°, γ = 90.00°
Element x y z (fractional)
U (0.189, 0.189, 0.378)
U (0.811, 0.811, 0.622)
Te (0.250, 0.750, 0.500)
Te (0.853, 0.325, 0.179)
Te (0.675, 0.675, 0.821)
Te (0.750, 0.250, 0.500)
Te (0.147, 0.147, 0.821)
Te (0.325, 0.853, 0.179)
Tm (0.500, 0.500, 0.000)

Calculated values
Its crystal system is tetragonal. The calculation puts the calculated total energy at -0.20354 Ha/atom. For the spin magnetization, the calculation gives 3.1 μB/f.u. The calculation puts the volume at 354 Å³ per cell.


This record from Alexandria via LeMat-Bulk describes a relaxed structure of TmUTe6. The functional is GGA-PBE.

a = 13.378 Å, b = 13.378 Å, c = 4.370 Å
α = 90.00°, β = 90.00°, γ = 161.26°
Element x y z (fractional)
Te (0.708, 0.292, 0.000)
Te (0.080, 0.920, 0.000)
Te (0.919, 0.081, 0.500)
Te (0.580, 0.420, 0.500)
Te (0.419, 0.581, 0.000)
Te (0.293, 0.707, 0.500)
Tm (0.172, 0.828, 0.500)
U (0.829, 0.171, 0.000)

Calculated values
Its crystal system is orthorhombic. The calculation puts the calculated total energy at -0.18450 Ha/atom. For the spin magnetization, the calculation gives 2.2 μB/f.u. The calculation puts the volume at 251 Å³ per cell.


This record from Alexandria via LeMat-Bulk describes a relaxed structure of TmUTe2. The functional is GGA-PBE.

a = 3.983 Å, b = 3.983 Å, c = 10.303 Å
α = 78.86°, β = 78.86°, γ = 60.00°
Element x y z (fractional)
Te (0.099, 0.099, 0.703)
Te (0.901, 0.901, 0.297)
U (0.500, 0.500, 0.500)
Tm (0.000, 0.000, 0.000)

Calculated values
Its crystal system is trigonal. The calculation puts the calculated total energy at -0.21634 Ha/atom. For the spin magnetization, the calculation gives 3.0 μB/f.u. The calculation puts the volume at 138 Å³ per cell.


This record from Alexandria via LeMat-Bulk describes a relaxed structure of TmVTe. The functional is GGA-PBE.

a = 3.829 Å, b = 3.829 Å, c = 10.271 Å
α = 93.45°, β = 93.45°, γ = 89.70°
Element x y z (fractional)
V (0.196, 0.196, 0.552)
V (0.804, 0.804, 0.448)
Te (0.217, 0.217, 0.846)
Te (0.783, 0.783, 0.154)
Tm (0.695, 0.695, 0.722)
Tm (0.305, 0.305, 0.278)

Calculated values
Its crystal system is monoclinic. The calculation puts the calculated total energy at -0.21892 Ha/atom. For the spin magnetization, the calculation gives 0.0 μB/f.u. The calculation puts the volume at 150 Å³ per cell.


This record from Alexandria via LeMat-Bulk describes a relaxed structure of YTm3Te6. The functional is GGA-PBE.

a = 8.954 Å, b = 8.954 Å, c = 8.954 Å
α = 90.51°, β = 90.51°, γ = 90.51°
Element x y z (fractional)
Tm (0.082, 0.243, 0.575)
Tm (0.243, 0.575, 0.082)
Tm (0.575, 0.082, 0.243)
Tm (0.757, 0.425, 0.918)
Tm (0.918, 0.757, 0.425)
Tm (0.425, 0.918, 0.757)
Te (0.537, 0.408, 0.177)
Te (0.912, 0.091, 0.318)
Te (0.091, 0.318, 0.912)
Te (0.682, 0.088, 0.909)
Te (0.318, 0.912, 0.091)
Te (0.088, 0.909, 0.682)
Te (0.592, 0.823, 0.463)
Te (0.823, 0.463, 0.592)
Te (0.177, 0.537, 0.408)
Te (0.408, 0.177, 0.537)
Te (0.909, 0.682, 0.088)
Te (0.463, 0.592, 0.823)
Y (0.000, 0.000, 0.000)
Y (0.500, 0.500, 0.500)

Calculated values
Its crystal system is trigonal. The polymorph energy (0 for the lowest one) comes out at 49 meV/atom. The calculation puts the calculated total energy at -0.18999 Ha/atom. For the spin magnetization, the calculation gives 0.0 μB/f.u. The calculation puts the volume at 718 Å³ per cell.


Ρ list, top to bottom, in g cm⁻³: 8.1, 9.1, 8.2, 7.6, 7.4, 9.3, 6.6, 6.6, 7.7, 8.0, 7.7, 6.3